SmGa3Pd | PBE | optimized geometry

```
data_SmGa3Pd
_chemical_formula_sum 'Sm4 Ga12 Pd4'
_symmetry_space_group_name_H-M 'P 1'
_symmetry_Int_Tables_number 1
_cell_length_a 4.2838
_cell_length_b 8.3448
_cell_length_c 10.8848
_cell_angle_alpha 90.00
_cell_angle_beta 90.00
_cell_angle_gamma 90.00
loop_
_symmetry_equiv_pos_as_xyz
'x,y,z'
loop_
_atom_site_label
_atom_site_fract_x
_atom_site_fract_y
_atom_site_fract_z
Sm1 0.7500 0.8056 0.0178
Sm2 0.2500 0.6944 0.5178
Sm3 0.7500 0.3056 0.4822
Sm4 0.2500 0.1944 0.9822
Ga1 0.2500 0.5704 0.0928
Ga2 0.7500 0.4296 0.9072
Ga3 0.2500 0.0704 0.4072
Ga4 0.7500 0.9296 0.5928
Ga5 0.2500 0.3875 0.6855
Ga6 0.7500 0.1125 0.1855
Ga7 0.2500 0.8875 0.8145
Ga8 0.7500 0.6358 0.7136
Ga9 0.2500 0.3642 0.2864
Ga10 0.7500 0.1358 0.7864
Ga11 0.7500 0.6125 0.3145
Ga12 0.2500 0.8642 0.2136
Pd1 0.2500 0.0909 0.6469
Pd2 0.2500 0.5909 0.8531
Pd3 0.7500 0.4091 0.1469
Pd4 0.7500 0.9091 0.3531
```

Summary:
- E (eV per atom) = -4.47
- density of states at the Fermi level (states/eV/cell) = 9.02
- energy of formation (kJ/mol of atoms) = -64



Cd2GaNi2 | PBE | optimized geometry

```
data_Cd2GaNi2
_chemical_formula_sum 'Cd4 Ga2 Ni4'
_symmetry_space_group_name_H-M 'P 1'
_symmetry_Int_Tables_number 1
_cell_length_a 7.6157
_cell_length_b 7.6157
_cell_length_c 2.8809
_cell_angle_alpha 90.00
_cell_angle_beta 90.00
_cell_angle_gamma 90.00
loop_
_symmetry_equiv_pos_as_xyz
'x,y,z'
loop_
_atom_site_label
_atom_site_fract_x
_atom_site_fract_y
_atom_site_fract_z
Ni1 0.1553 0.6553 0.5000
Ni2 0.6553 0.8447 0.5000
Ni3 0.8447 0.3447 0.5000
Ni4 0.3447 0.1553 0.5000
Ga1 0.0000 0.0000 0.0000
Ga2 0.5000 0.5000 0.0000
Cd1 0.3584 0.8584 0.0000
Cd2 0.8584 0.6416 0.0000
Cd3 0.6416 0.1416 0.0000
Cd4 0.1416 0.3584 0.0000
```

Summary:
- E (eV per atom) = -3.09
- density of states at the Fermi level (states/eV/cell) = 5.37
- energy of formation (kJ/mol of atoms) = 19



GaTe2SN | PBE | optimized geometry

```
data_GaTe2SN
_chemical_formula_sum 'Ga1 Te2 S1 N1'
_symmetry_space_group_name_H-M 'P 1'
_symmetry_Int_Tables_number 1
_cell_length_a 6.0458
_cell_length_b 6.0458
_cell_length_c 3.2557
_cell_angle_alpha 90.00
_cell_angle_beta 90.00
_cell_angle_gamma 90.00
loop_
_symmetry_equiv_pos_as_xyz
'x,y,z'
loop_
_atom_site_label
_atom_site_fract_x
_atom_site_fract_y
_atom_site_fract_z
S1 0.0000 0.0000 0.0000
Te1 0.0000 0.5000 0.0000
Te2 0.5000 0.0000 0.0000
Ga1 0.5000 0.5000 0.5000
N1 0.0000 0.0000 0.5000
```

Summary:
- energy relative to the elements, uncorrected (eV/atom) = 0.67
- E (eV per atom) = -3.68
- density of states at the Fermi level (states/eV/cell) = 3.96



RbNaSbBr6 | PBE | optimized geometry

```
data_RbNaSbBr6
_chemical_formula_sum 'Rb1 Na1 Sb1 Br6'
_symmetry_space_group_name_H-M 'P 1'
_symmetry_Int_Tables_number 1
_cell_length_a 7.5146
_cell_length_b 7.5039
_cell_length_c 7.5039
_cell_angle_alpha 120.00
_cell_angle_beta 90.00
_cell_angle_gamma 90.00
loop_
_symmetry_equiv_pos_as_xyz
'x,y,z'
loop_
_atom_site_label
_atom_site_fract_x
_atom_site_fract_y
_atom_site_fract_z
Rb1 0.0000 0.3333 0.6667
Na1 0.5000 0.6667 0.3333
Sb1 0.5000 0.0000 0.0000
Br1 0.7115 0.7170 0.6940
Br2 0.7115 0.3060 0.0230
Br3 0.7115 0.9770 0.2830
Br4 0.2885 0.3060 0.2830
Br5 0.2885 0.7170 0.0230
Br6 0.2885 0.9770 0.6940
```

Summary:
- energy relative to the elements, uncorrected (eV/atom) = -0.99
- E (eV per atom) = -2.82
- density of states at the Fermi level (states/eV/cell) = 6.84



SnGeS | PBE | optimized geometry

```
data_SnGeS
_chemical_formula_sum 'Sn1 Ge1 S1'
_symmetry_space_group_name_H-M 'P 1'
_symmetry_Int_Tables_number 1
_cell_length_a 3.4275
_cell_length_b 3.4275
_cell_length_c 6.6519
_cell_angle_alpha 90.00
_cell_angle_beta 90.00
_cell_angle_gamma 120.00
loop_
_symmetry_equiv_pos_as_xyz
'x,y,z'
loop_
_atom_site_label
_atom_site_fract_x
_atom_site_fract_y
_atom_site_fract_z
S1 0.6667 0.3333 0.2740
Ge1 0.0000 0.0000 0.0561
Sn1 0.3333 0.6667 0.6699
```

Summary:
- energy relative to the elements, uncorrected (eV/atom) = -0.03
- E (eV per atom) = -4.28
- density of states at the Fermi level (states/eV/cell) = 1.31



Hf3Zr13 | PBE | optimized geometry

```
data_Hf3Zr13
_chemical_formula_sum 'Hf3 Zr13'
_symmetry_space_group_name_H-M 'P 1'
_symmetry_Int_Tables_number 1
_cell_length_a 6.4456
_cell_length_b 7.6051
_cell_length_c 7.6051
_cell_angle_alpha 94.58
_cell_angle_beta 90.00
_cell_angle_gamma 90.00
loop_
_symmetry_equiv_pos_as_xyz
'x,y,z'
loop_
_atom_site_label
_atom_site_fract_x
_atom_site_fract_y
_atom_site_fract_z
Hf1 0.7512 0.0424 0.9576
Hf2 0.0000 0.2905 0.7095
Hf3 0.2488 0.0424 0.9576
Zr1 0.7508 0.9596 0.5434
Zr2 0.7505 0.5408 0.4592
Zr3 0.7508 0.4566 0.0404
Zr4 0.0000 0.7087 0.7934
Zr5 0.0000 0.2066 0.2913
Zr6 0.0000 0.7927 0.2073
Zr7 0.2492 0.9596 0.5434
Zr8 0.2495 0.5408 0.4592
Zr9 0.2492 0.4566 0.0404
Zr10 0.5000 0.2910 0.7090
Zr11 0.5000 0.7115 0.7929
Zr12 0.5000 0.2071 0.2885
Zr13 0.5000 0.7927 0.2073
```

Summary:
- E (eV per atom) = -8.81
- density of states at the Fermi level (states/eV/cell) = 13.83
- energy of formation (kJ/mol of atoms) = 0



Zr4Mn | PBE | optimized geometry

```
data_Zr4Mn
_chemical_formula_sum 'Zr4 Mn1'
_symmetry_space_group_name_H-M 'P 1'
_symmetry_Int_Tables_number 1
_cell_length_a 7.7755
_cell_length_b 7.7755
_cell_length_c 7.7755
_cell_angle_alpha 149.80
_cell_angle_beta 149.80
_cell_angle_gamma 43.23
loop_
_symmetry_equiv_pos_as_xyz
'x,y,z'
loop_
_atom_site_label
_atom_site_fract_x
_atom_site_fract_y
_atom_site_fract_z
Zr1 0.2500 0.7500 0.5000
Zr2 0.5913 0.5913 0.0000
Zr3 0.4087 0.4087 0.0000
Zr4 0.7500 0.2500 0.5000
Mn1 0.0000 0.0000 0.0000
```

Summary:
- E (eV per atom) = -8.00
- density of states at the Fermi level (states/eV/cell) = 7.72
- energy of formation (kJ/mol of atoms) = 65



In2W | PBE | optimized geometry

```
data_In2W
_chemical_formula_sum 'In2 W1'
_symmetry_space_group_name_H-M 'P 1'
_symmetry_Int_Tables_number 1
_cell_length_a 3.0793
_cell_length_b 3.0793
_cell_length_c 7.4247
_cell_angle_alpha 90.00
_cell_angle_beta 90.00
_cell_angle_gamma 120.00
loop_
_symmetry_equiv_pos_as_xyz
'x,y,z'
loop_
_atom_site_label
_atom_site_fract_x
_atom_site_fract_y
_atom_site_fract_z
In1 0.6667 0.3333 0.6831
In2 0.3333 0.6667 0.3169
W1 0.0000 0.0000 0.0000
```

Summary:
- E (eV per atom) = -5.55
- density of states at the Fermi level (states/eV/cell) = 2.00
- energy of formation (kJ/mol of atoms) = 57



Computed values of total magnetization (unit: μB/atom) for the preceding records, in sequence: 0.00 0.00 0.00 0.00 0.00 0.00 0.73 0.00.